Arrangement one

A plane-wave DFT calculation with PBE was carried out for a relaxed Bi2SbAu2 crystal.

Calculated values
crystal system = tetragonal

a = 7.7353 Å, b = 7.7353 Å, c = 4.2695 Å
α = 90.00°, β = 90.00°, γ = 90.00°
Atoms (fractional coordinates):
Au: 0.1308 0.3692 0.0000
Bi: 0.1720 0.6720 0.5000
Bi: 0.3280 0.1720 0.5000
Bi: 0.6720 0.8280 0.5000
Sb: 0.0000 0.0000 0.0000
Bi: 0.8280 0.3280 0.5000
Au: 0.3692 0.8692 0.0000
Au: 0.8692 0.6308 0.0000
Sb: 0.5000 0.5000 0.0000
Au: 0.6308 0.1308 0.0000

---

Arrangement two

A plane-wave DFT calculation with PBE was carried out for a relaxed Bi2SbAu2 crystal.

Calculated values
crystal system = tetragonal

a = 3.9622 Å, b = 3.9622 Å, c = 8.8673 Å
α = 77.09°, β = 77.09°, γ = 90.00°
Atoms (fractional coordinates):
Sb: 0.0000 0.0000 0.0000
Au: 0.7500 0.2500 0.5000
Bi: 0.6080 0.6080 0.7840
Au: 0.2500 0.7500 0.5000
Bi: 0.3920 0.3920 0.2160

---

The structure with the most favorable energy is arrangement one; the runner-up is 35 meV/atom above it.

---

Arrangement one

A plane-wave DFT calculation with PBE was carried out for a relaxed BiSbAu4 crystal.

Calculated values
crystal system = orthorhombic

a = 4.6830 Å, b = 4.6825 Å, c = 6.6996 Å
α = 90.02°, β = 90.02°, γ = 105.17°
Atoms (fractional coordinates):
Au: 0.9467 0.5512 0.2636
Bi: 0.4165 0.4125 0.9981
Sb: 0.0879 0.0839 0.4982
Au: 0.9464 0.5511 0.7327
Au: 0.5552 0.9426 0.2636
Au: 0.5551 0.9423 0.7326

---

Arrangement two

A plane-wave DFT calculation with PBE was carried out for a relaxed BiSbAu4 crystal.

Calculated values
crystal system = cubic

a = 5.6914 Å, b = 5.6914 Å, c = 5.6914 Å
α = 60.00°, β = 60.00°, γ = 60.00°
Atoms (fractional coordinates):
Sb: 0.2500 0.2500 0.2500
Au: 0.6250 0.6250 0.1250
Au: 0.6250 0.1250 0.6250
Au: 0.1250 0.6250 0.6250
Au: 0.6250 0.6250 0.6250
Bi: 0.0000 0.0000 0.0000

---

The structure with the most favorable energy is arrangement two; the runner-up is 13 meV/atom above it.

---

Arrangement one

A plane-wave DFT calculation with PBE was carried out for a relaxed BiSb3Au crystal.

Calculated values
crystal system = cubic

a = 5.8329 Å, b = 5.8329 Å, c = 5.8329 Å
α = 90.00°, β = 90.00°, γ = 90.00°
Atoms (fractional coordinates):
Sb: 0.5000 0.0000 0.0000
Sb: 0.0000 0.5000 0.0000
Sb: 0.0000 0.0000 0.5000
Au: 0.5000 0.5000 0.5000
Bi: 0.0000 0.0000 0.0000

---

Arrangement two

A plane-wave DFT calculation with PBE was carried out for a relaxed BiSb3Au crystal.

Calculated values
crystal system = cubic

a = 5.4052 Å, b = 5.4052 Å, c = 5.4052 Å
α = 90.00°, β = 90.00°, γ = 90.00°
Atoms (fractional coordinates):
Sb: 0.0000 0.0000 0.5000
Bi: 0.5000 0.5000 0.5000
Au: 0.0000 0.0000 0.0000
Sb: 0.5000 0.0000 0.0000
Sb: 0.0000 0.5000 0.0000

---

The structure with the most favorable energy is arrangement two; the runner-up is 669 meV/atom above it.

---

Arrangement one

A plane-wave DFT calculation with PBE was carried out for a relaxed Bi3SbAu4 crystal.

Calculated values
crystal system = orthorhombic

a = 6.9813 Å, b = 6.9813 Å, c = 6.9813 Å
α = 75.71°, β = 129.62°, γ = 127.53°
Atoms (fractional coordinates):
Au: 0.1723 0.2332 0.4055
Au: 0.4921 0.2320 0.2601
Au: 0.1723 0.7668 0.9390
Bi: 0.8160 0.0000 0.8160
Bi: 0.6622 0.7193 0.3815
Au: 0.0282 0.7680 0.2601
Bi: 0.6622 0.2807 0.9429
Sb: 0.1458 0.5000 0.6458

---

Arrangement two

A plane-wave DFT calculation with PBE was carried out for a relaxed Bi3SbAu4 crystal.

Calculated values
crystal system = cubic

a = 5.8951 Å, b = 5.8951 Å, c = 5.8951 Å
α = 90.00°, β = 90.00°, γ = 90.00°
Atoms (fractional coordinates):
Au: 0.5000 0.0000 0.0000
Bi: 0.5000 0.0000 0.5000
Au: 0.5000 0.5000 0.5000
Bi: 0.5000 0.5000 0.0000
Au: 0.0000 0.5000 0.0000
Au: 0.0000 0.0000 0.5000
Sb: 0.0000 0.0000 0.0000
Bi: 0.0000 0.5000 0.5000

---

The structure with the most favorable energy is arrangement two; the runner-up is 53 meV/atom above it.